Material: VAg2F6
Method: DFT, PBE with a Hubbard U
State: relaxed

It has space group P4_2/mnm (No. 136), with a = 5.2550 Å, b = 5.2550 Å, c = 10.4870 Å, α = 90.00°, β = 90.00° and γ = 90.00°. The inequivalent atoms are V at (0.0000, 0.0000, 0.0000), Ag at (0.0000, 0.0000, 0.3388), F at (0.1771, 0.1771, 0.1323) and F at (0.2485, 0.7515, 0.0000).

The calculation puts the density at 4.365 g/cm3. The value obtained for the total energy is -84.6 eV for the cell shown.